Computed, not measured: an optimized crystal structure of Tm12Ga2Pb5 at the PBE level of DFT.

Computed properties:
Total moment: 0.000 μB per atom
Formation enthalpy at 0 K: -206 meV per atom
Raw total energy: -4.325 eV per atom

a b c (Å): 7.398 9.333 9.483
angles (deg): 101.34 90.00 113.35
Positions (direct):
Tm (0.401, 0.293, 0.572)
Tm (0.407, 0.328, 0.098)
Tm (0.510, 0.020, 0.289)
Tm (0.490, 0.980, 0.711)
Tm (0.593, 0.672, 0.902)
Tm (0.012, 0.024, 0.833)
Tm (0.079, 0.672, 0.902)
Tm (0.921, 0.328, 0.098)
Tm (0.599, 0.707, 0.428)
Tm (0.892, 0.293, 0.572)
Tm (0.108, 0.707, 0.428)
Tm (0.988, 0.976, 0.167)
Ga (0.672, 0.000, 0.000)
Ga (0.328, 0.000, 0.000)
Pb (0.000, 0.000, 0.500)
Pb (0.319, 0.637, 0.159)
Pb (0.706, 0.412, 0.359)
Pb (0.681, 0.363, 0.841)
Pb (0.294, 0.588, 0.641)

---

Computed, not measured: an optimized crystal structure of TmGa2Pb at the PBE level of DFT.

Computed properties:
Energy relative to the lowest polymorph listed for this composition: 0 meV per atom
Total moment: 0.000 μB per atom
Formation enthalpy at 0 K: -329 meV per atom
Raw total energy: -3.888 eV per atom

a b c (Å): 4.335 4.536 4.536
angles (deg): 90.00 90.00 90.00
Positions (direct):
Ga (0.000, 0.500, 0.000)
Ga (0.000, 0.000, 0.500)
Tm (0.500, 0.500, 0.500)
Pb (0.500, 0.000, 0.000)

---

Computed, not measured: an optimized crystal structure of Tm8GaPb5 at the PBE level of DFT.

Computed properties:
Total moment: 0.000 μB per atom
Formation enthalpy at 0 K: -468 meV per atom
Raw total energy: -4.564 eV per atom

a b c (Å): 7.983 7.983 7.983
angles (deg): 109.70 109.02 109.70
Positions (direct):
Pb (0.749, 0.629, 0.620)
Pb (0.879, 0.871, 0.251)
Pb (0.500, 0.000, 0.500)
Pb (0.992, 0.371, 0.121)
Pb (0.380, 0.129, 0.008)
Ga (0.250, 0.500, 0.750)
Tm (0.265, 0.260, 0.387)
Tm (0.613, 0.878, 0.873)
Tm (0.130, 0.747, 0.526)
Tm (0.127, 0.740, 0.005)
Tm (0.995, 0.122, 0.735)
Tm (0.474, 0.605, 0.221)
Tm (0.616, 0.395, 0.870)
Tm (0.779, 0.253, 0.384)

---

Computed, not measured: an optimized crystal structure of Tm2Ga2Pb at the PBE level of DFT.

Computed properties:
Total moment: 0.000 μB per atom
Formation enthalpy at 0 K: -500 meV per atom
Raw total energy: -4.241 eV per atom

a b c (Å): 4.024 4.064 7.525
angles (deg): 105.67 90.00 90.00
Positions (direct):
Ga (0.000, 0.202, 0.403)
Ga (0.000, 0.798, 0.597)
Pb (0.000, 0.000, 0.000)
Tm (0.500, 0.636, 0.271)
Tm (0.500, 0.364, 0.729)

---

Computed, not measured: an optimized crystal structure of Tm12Ga6Pb at the PBE level of DFT.

Computed properties:
Total moment: 0.000 μB per atom
Formation enthalpy at 0 K: -375 meV per atom
Raw total energy: -4.351 eV per atom

a b c (Å): 8.618 8.618 8.618
angles (deg): 109.47 109.47 109.47
Positions (direct):
Tm (0.484, 0.189, 0.295)
Tm (0.189, 0.705, 0.894)
Tm (0.705, 0.516, 0.811)
Tm (0.811, 0.705, 0.516)
Tm (0.705, 0.894, 0.189)
Tm (0.516, 0.811, 0.705)
Tm (0.189, 0.295, 0.484)
Tm (0.106, 0.811, 0.295)
Tm (0.295, 0.484, 0.189)
Tm (0.894, 0.189, 0.705)
Tm (0.295, 0.106, 0.811)
Tm (0.811, 0.295, 0.106)
Pb (0.000, 0.000, 0.000)
Ga (0.500, 0.877, 0.377)
Ga (0.877, 0.377, 0.500)
Ga (0.377, 0.500, 0.877)
Ga (0.123, 0.623, 0.500)
Ga (0.623, 0.500, 0.123)
Ga (0.500, 0.123, 0.623)

---

Computed, not measured: an optimized crystal structure of Tm6Ga2Pb at the PBE level of DFT.

Computed properties:
Total moment: 0.000 μB per atom
Formation enthalpy at 0 K: -422 meV per atom
Raw total energy: -4.488 eV per atom

a b c (Å): 8.548 8.548 8.548
angles (deg): 104.01 112.35 112.19
Positions (direct):
Tm (0.206, 0.240, 0.446)
Tm (0.906, 0.722, 0.185)
Tm (0.206, 0.760, 0.965)
Tm (0.537, 0.722, 0.815)
Tm (0.094, 0.278, 0.815)
Tm (0.701, 0.381, 0.680)
Tm (0.299, 0.979, 0.680)
Tm (0.794, 0.240, 0.035)
Tm (0.463, 0.278, 0.185)
Tm (0.299, 0.619, 0.320)
Tm (0.701, 0.021, 0.320)
Tm (0.794, 0.760, 0.554)
Ga (0.500, 0.380, 0.880)
Ga (0.645, 0.000, 0.645)
Ga (0.355, 0.000, 0.355)
Ga (0.500, 0.620, 0.120)
Pb (0.000, 0.500, 0.500)
Pb (0.000, 0.000, 0.000)

---

Computed, not measured: an optimized crystal structure of Tm3GaPb2 at the PBE level of DFT.

Computed properties:
Energy relative to the lowest polymorph listed for this composition: 0 meV per atom
Total moment: 0.000 μB per atom
Formation enthalpy at 0 K: -407 meV per atom
Raw total energy: -4.383 eV per atom

a b c (Å): 4.389 11.817 12.417
angles (deg): 90.00 90.00 90.00
Positions (direct):
Tm (0.250, 0.383, 0.060)
Tm (0.250, 0.721, 0.246)
Tm (0.750, 0.548, 0.622)
Tm (0.250, 0.779, 0.746)
Tm (0.250, 0.048, 0.878)
Tm (0.250, 0.117, 0.560)
Tm (0.750, 0.617, 0.940)
Tm (0.750, 0.221, 0.254)
Tm (0.750, 0.883, 0.440)
Tm (0.250, 0.452, 0.378)
Tm (0.750, 0.952, 0.122)
Tm (0.750, 0.279, 0.754)
Pb (0.750, 0.508, 0.184)
Pb (0.250, 0.794, 0.013)
Pb (0.250, 0.706, 0.513)
Pb (0.750, 0.992, 0.684)
Pb (0.250, 0.492, 0.816)
Pb (0.250, 0.008, 0.316)
Pb (0.750, 0.294, 0.487)
Pb (0.750, 0.206, 0.987)
Ga (0.250, 0.131, 0.118)
Ga (0.250, 0.369, 0.618)
Ga (0.750, 0.869, 0.882)
Ga (0.750, 0.631, 0.382)

---

Computed, not measured: an optimized crystal structure of Tm5GaPb4 at the PBE level of DFT.

Computed properties:
Total moment: 0.000 μB per atom
Formation enthalpy at 0 K: -238 meV per atom
Raw total energy: -4.260 eV per atom

a b c (Å): 6.233 7.484 7.484
angles (deg): 80.01 65.39 65.39
Positions (direct):
Pb (0.364, 0.380, 0.816)
Pb (0.561, 0.620, 0.184)
Pb (0.745, 0.816, 0.620)
Pb (0.181, 0.184, 0.380)
Tm (0.666, 0.212, 0.392)
Tm (0.653, 0.000, 0.000)
Tm (0.878, 0.392, 0.788)
Tm (0.058, 0.608, 0.212)
Tm (0.270, 0.788, 0.608)
Ga (0.134, 0.000, 0.000)

---

Computed, not measured: an optimized crystal structure of Tm4GaPb at the PBE level of DFT.

Computed properties:
Total moment: 0.000 μB per atom
Formation enthalpy at 0 K: -361 meV per atom
Raw total energy: -4.465 eV per atom

a b c (Å): 6.060 8.402 8.062
angles (deg): 114.49 103.18 106.48
Positions (direct):
Tm (0.701, 0.370, 0.160)
Tm (0.299, 0.630, 0.840)
Tm (0.219, 0.292, 0.360)
Tm (0.359, 0.932, 0.640)
Tm (0.042, 0.210, 0.840)
Tm (0.641, 0.068, 0.360)
Tm (0.781, 0.708, 0.640)
Tm (0.958, 0.790, 0.160)
Ga (0.750, 0.000, 0.999)
Ga (0.250, 0.000, 0.001)
Pb (0.372, 0.622, 0.244)
Pb (0.628, 0.378, 0.756)

---

Computed, not measured: an optimized crystal structure of Tm5Ga2Pb2 at the PBE level of DFT.

Computed properties:
Total moment: 0.000 μB per atom
Formation enthalpy at 0 K: -525 meV per atom
Raw total energy: -4.506 eV per atom

a b c (Å): 7.739 7.892 8.685
angles (deg): 117.02 90.00 90.00
Positions (direct):
Pb (0.000, 0.214, 0.428)
Pb (0.500, 0.286, 0.572)
Pb (0.000, 0.786, 0.572)
Pb (0.500, 0.714, 0.428)
Tm (0.326, 0.953, 0.258)
Tm (0.326, 0.695, 0.742)
Tm (0.826, 0.805, 0.258)
Tm (0.500, 0.500, 0.000)
Tm (0.674, 0.047, 0.742)
Tm (0.826, 0.547, 0.742)
Tm (0.000, 0.000, 0.000)
Tm (0.174, 0.453, 0.258)
Tm (0.674, 0.305, 0.258)
Tm (0.174, 0.195, 0.742)
Ga (0.123, 0.621, 0.000)
Ga (0.377, 0.121, 0.000)
Ga (0.877, 0.379, 0.000)
Ga (0.623, 0.879, 0.000)

---

Computed, not measured: an optimized crystal structure of Tm6Ga5Pb at the PBE level of DFT.

Computed properties:
Total moment: 0.000 μB per atom
Formation enthalpy at 0 K: -412 meV per atom
Raw total energy: -4.218 eV per atom

a b c (Å): 8.767 6.374 6.325
angles (deg): 59.74 83.42 76.85
Positions (direct):
Tm (0.277, 0.550, 0.357)
Tm (0.723, 0.450, 0.643)
Tm (0.767, 0.710, 0.000)
Tm (0.277, 0.907, 0.643)
Tm (0.233, 0.290, 0.000)
Tm (0.723, 0.093, 0.357)
Ga (0.000, 0.692, 0.615)
Ga (0.000, 0.308, 0.385)
Ga (0.500, 0.876, 0.249)
Ga (0.500, 0.124, 0.751)
Ga (0.500, 0.500, 0.000)
Pb (0.000, 0.000, 0.000)

---

Computed, not measured: an optimized crystal structure of Tm4GaPb2 at the PBE level of DFT.

Computed properties:
Total moment: 0.000 μB per atom
Formation enthalpy at 0 K: -333 meV per atom
Raw total energy: -4.380 eV per atom

a b c (Å): 5.614 6.436 11.110
angles (deg): 90.00 111.01 90.00
Positions (direct):
Tm (0.979, 0.250, 0.115)
Tm (0.421, 0.007, 0.733)
Tm (0.579, 0.507, 0.267)
Tm (0.421, 0.493, 0.733)
Tm (0.021, 0.750, 0.885)
Tm (0.192, 0.750, 0.436)
Tm (0.579, 0.993, 0.267)
Tm (0.808, 0.250, 0.564)
Pb (0.599, 0.750, 0.005)
Pb (0.793, 0.750, 0.573)
Pb (0.401, 0.250, 0.995)
Pb (0.207, 0.250, 0.427)
Ga (0.096, 0.750, 0.170)
Ga (0.904, 0.250, 0.830)

---

Which value of formation enthalpy at 0 K does entry 6 give?
-422 meV per atom